[1]
{"formula": "Nb3CuIr", "functional": "GGA-PBE", "state": "optimized geometry", "relative_energy_ev_per_atom": 0.0000, "lattice": [[4.851, 0.000, 0.000], [0.000, 4.851, 0.000], [0.000, 0.000, 4.851]], "species": ["Nb", "Nb", "Nb", "Cu", "Ir"], "fractional_positions": [[0.000, 0.000, 0.500], [0.000, 0.500, 0.000], [0.500, 0.000, 0.000], [0.500, 0.500, 0.500], [0.000, 0.000, 0.000]]}

---

[2]
{"formula": "Th2MgGa", "functional": "GGA-PBE", "state": "optimized geometry", "e_tot_ev_per_atom": -5.00, "lattice": [[3.931, 0.000, 0.000], [0.000, 3.931, 0.000], [0.000, 0.000, 6.924]], "species": ["Th", "Th", "Mg", "Ga"], "fractional_positions": [[0.000, 0.000, 0.231], [0.000, 0.000, 0.769], [0.500, 0.500, 0.500], [0.500, 0.500, 0.000]]}

---

[3]
{"formula": "CdNi2As", "functional": "GGA-PBE", "state": "optimized geometry", "relative_energy_ev_per_atom": 0.0000, "lattice": [[3.003, 0.000, 0.000], [0.000, 3.027, 0.000], [0.000, 0.000, 6.389]], "species": ["Cd", "Ni", "Ni", "As"], "fractional_positions": [[0.000, 0.000, 0.000], [0.500, 0.500, 0.295], [0.500, 0.500, 0.705], [0.000, 0.000, 0.500]]}

---

[4]
{"formula": "Rb4Cd5Sb6", "functional": "GGA-PBE", "state": "optimized geometry", "e_form_raw_ev_per_atom": -0.260, "lattice": [[2.433, -11.139, 0.000], [2.433, 11.139, 0.000], [0.000, 0.000, 20.182]], "species": ["Rb", "Rb", "Rb", "Rb", "Rb", "Rb", "Rb", "Rb", "Cd", "Cd", "Cd", "Cd", "Cd", "Cd", "Cd", "Cd", "Cd", "Cd", "Sb", "Sb", "Sb", "Sb", "Sb", "Sb", "Sb", "Sb", "Sb", "Sb", "Sb", "Sb"], "fractional_positions": [[0.001, 0.999, 0.500], [0.001, 0.999, 0.751], [0.183, 0.817, 0.444], [0.183, 0.817, 0.806], [0.817, 0.183, 0.306], [0.817, 0.183, 0.944], [0.999, 0.001, 0.000], [0.999, 0.001, 0.251], [0.129, 0.871, 0.125], [0.271, 0.729, 0.125], [0.370, 0.630, 0.753], [0.371, 0.629, 0.498], [0.424, 0.576, 0.125], [0.576, 0.424, 0.625], [0.629, 0.371, 0.998], [0.630, 0.370, 0.253], [0.729, 0.271, 0.625], [0.871, 0.129, 0.625], [0.144, 0.856, 0.624], [0.201, 0.799, 0.001], [0.201, 0.799, 0.249], [0.438, 0.562, 0.373], [0.438, 0.562, 0.878], [0.446, 0.554, 0.625], [0.554, 0.446, 0.125], [0.562, 0.438, 0.378], [0.562, 0.438, 0.873], [0.799, 0.201, 0.501], [0.799, 0.201, 0.749], [0.856, 0.144, 0.124]]}

---

[5]
{"formula": "PmAg2Rh", "functional": "GGA-PBE", "state": "optimized geometry", "e_tot_ev_per_atom": -4.76, "lattice": [[4.058, 0.000, 0.000], [0.000, 4.058, 0.000], [0.000, 0.000, 4.750]], "species": ["Pm", "Ag", "Ag", "Rh"], "fractional_positions": [[0.000, 0.000, 0.000], [0.000, 0.500, 0.500], [0.500, 0.000, 0.500], [0.500, 0.500, 0.000]]}

---

[6]
{"formula": "RbReSe2N", "functional": "GGA-PBE", "state": "optimized geometry", "e_form_raw_ev_per_atom": -0.051, "relative_energy_ev_per_atom": 0.0000, "lattice": [[5.274, 0.000, 0.000], [0.000, 5.274, 0.000], [0.000, 0.000, 3.821]], "species": ["Rb", "Re", "Se", "Se", "N"], "fractional_positions": [[0.000, 0.000, 0.000], [0.500, 0.500, 0.500], [0.000, 0.500, 0.500], [0.500, 0.000, 0.500], [0.500, 0.500, 0.000]]}

---

Ordered total magnetic moment results: 0.0000; 0.0000; 0.0000; 0.0000; 0.0000; 0.0331; unit μB/atom.
Ordered Fermi-level density of states results: 4.2; 5.4; 2.3; 5.7; 0.9; 3.1; unit states/eV/f.u..